Record 1
Compound: NiS2
Source: Alexandria
Functional: PBE-GGA
Structure: relaxed

abc: 3.5043 3.5043 10.5343
angles: 90.00 90.00 120.00
Last column: nearest neighbours and their distance in Å.
Positions (direct):
S (0.3333, 0.6667, 0.6477)  1 S 2.16, 3 Ni 2.29
S (0.6667, 0.3333, 0.3523)  1 S 2.16, 3 Ni 2.29
S (0.3333, 0.6667, 0.8523)  1 S 2.16, 3 Ni 2.29
S (0.6667, 0.3333, 0.1477)  1 S 2.16, 3 Ni 2.29
Ni (0.3333, 0.6667, 0.2500)  6 S 2.29
Ni (0.6667, 0.3333, 0.7500)  6 S 2.29

Calculated values
raw formation energy = -0.069 eV per atom
energy = -0.1745 hartree per atom
SG = P6_3/mmc, No. 194

=====

Record 2
Compound: NiS2
Source: Alexandria
Functional: PBE-GGA
Structure: relaxed

abc: 3.5496 4.5899 5.5661
angles: 90.00 90.00 90.00
Last column: nearest neighbours and their distance in Å.
Positions (direct):
S (0.0000, 0.1838, 0.3889)  1 S 2.09, 1 Ni 2.32
S (0.5000, 0.6838, 0.1111)  1 S 2.09, 1 Ni 2.32
S (0.0000, 0.8162, 0.6111)  1 S 2.09, 1 Ni 2.32
S (0.5000, 0.3162, 0.8889)  1 S 2.09, 1 Ni 2.32
Ni (0.5000, 0.5000, 0.5000)  6 S 2.32-2.37
Ni (0.0000, 0.0000, 0.0000)  6 S 2.32-2.37

Calculated values
raw formation energy = -0.236 eV per atom
energy = -0.1806 hartree per atom
SG = Pnnm, No. 58

=====

Record 3
Compound: Ni2S3
Source: Alexandria
Functional: PBE-GGA
Structure: relaxed

abc: 3.3456 3.3456 7.8416
angles: 77.68 77.68 60.00
Last column: nearest neighbours and their distance in Å.
Positions (direct):
Ni (0.4001, 0.4001, 0.7996)  6 S 2.21-2.46
Ni (0.5999, 0.5999, 0.2004)  6 S 2.21-2.46
S (0.0000, 0.0000, 0.0000)  6 Ni 2.46
S (0.2193, 0.2193, 0.3422)  3 Ni 2.21
S (0.7807, 0.7807, 0.6578)  3 Ni 2.21

Calculated values
raw formation energy = -0.205 eV per atom
energy = -0.1835 hartree per atom
SG = R-3m, No. 166

=====

Record 4
Compound: NiS2
Source: Alexandria
Functional: PBE-GGA
Structure: relaxed

abc: 6.9178 6.9178 6.9178
angles: 28.00 28.00 28.00
Last column: nearest neighbours and their distance in Å.
Positions (direct):
S (0.6080, 0.6080, 0.6080)  3 Ni 2.26
S (0.3920, 0.3920, 0.3920)  3 Ni 2.26
Ni (0.0000, 0.0000, 0.0000)  6 S 2.26

Calculated values
raw formation energy = -0.217 eV per atom
energy = -0.1799 hartree per atom
SG = R-3m, No. 166

=====

Record 5
Compound: Ni3S
Source: Alexandria
Functional: PBE-GGA
Structure: relaxed

abc: 4.4169 4.4169 4.4169
angles: 133.15 133.15 68.41
Last column: nearest neighbours and their distance in Å.
Positions (direct):
Ni (0.5000, 0.5000, 0.0000)  4 S 2.48, 8 Ni 2.53
Ni (0.2500, 0.7500, 0.5000)  8 Ni 2.48-2.53, 4 S 2.53
Ni (0.7500, 0.2500, 0.5000)  8 Ni 2.48-2.53, 4 S 2.53
S (0.0000, 0.0000, 0.0000)  12 Ni 2.48-2.53

Calculated values
raw formation energy = 0.145 eV per atom
energy = -0.1919 hartree per atom
SG = I4/mmm, No. 139

=====

Record 6
Compound: NiS2
Source: Alexandria
Functional: PBE-GGA
Structure: relaxed

abc: 3.6135 5.5277 9.3126
angles: 90.00 90.00 90.00
Last column: nearest neighbours and their distance in Å.
Positions (direct):
Ni (0.7500, 0.8429, 0.6352)  6 S 2.28-2.42
Ni (0.2500, 0.1571, 0.3648)  6 S 2.28-2.42
Ni (0.2500, 0.3429, 0.8648)  6 S 2.28-2.42
Ni (0.7500, 0.6571, 0.1352)  6 S 2.28-2.42
S (0.2500, 0.7185, 0.9660)  1 S 2.11, 1 Ni 2.28
S (0.7500, 0.4508, 0.7143)  1 S 2.11, 3 Ni 2.29-2.36
S (0.7500, 0.2185, 0.5340)  1 S 2.11, 1 Ni 2.28
S (0.7500, 0.0492, 0.2143)  1 S 2.11, 3 Ni 2.29-2.36
S (0.2500, 0.9508, 0.7857)  1 S 2.11, 3 Ni 2.29-2.36
S (0.2500, 0.5492, 0.2857)  1 S 2.11, 3 Ni 2.29-2.36
S (0.7500, 0.2815, 0.0340)  1 S 2.11, 1 Ni 2.28
S (0.2500, 0.7815, 0.4660)  1 S 2.11, 1 Ni 2.28

Calculated values
raw formation energy = -0.204 eV per atom
energy = -0.1794 hartree per atom
SG = Pnma, No. 62

=====

Which value of raw formation energy does entry 5 give?
0.145 eV per atom